# 1
Here is a relaxed structure of PmMgNi4 from the Alexandria database. Energies are from PBE-GGA.

Geometry as POSCAR:
```
PmMgNi4
1.0
-4.967 0.549 0.161
-2.788 -1.309 -3.939
-2.953 -4.027 0.255
Pm Mg Ni
1 1 4
Direct
0.250 0.250 0.250 Pm
0.000 0.000 0.000 Mg
0.121 0.626 0.626 Ni
0.626 0.626 0.626 Ni
0.626 0.626 0.121 Ni
0.626 0.121 0.626 Ni
```

Values from the calculation:
E_form, kJ/mol of formula units: -200
Crystal system: cubic
SG: F-43m, No. 216
M_tot, μB per formula unit: 0.001
VASP energy, Ha/atom: -0.1932

***

# 2
Here is a relaxed structure of InSiPPb2 from the Alexandria database. Energies are from PBE-GGA.

Geometry as POSCAR:
```
InSiPPb2
1.0
-5.365 -0.151 -0.073
0.157 -4.236 -2.799
0.022 -2.958 4.479
Pb P In Si
2 1 1 1
Direct
0.000 0.000 0.500 Pb
0.500 0.000 0.000 Pb
0.500 0.500 0.500 P
0.000 0.500 0.000 In
0.000 0.000 0.000 Si
```

Values from the calculation:
Formation energy (no corrections), eV per atom: 0.688
Crystal system: tetragonal
SG: P4/mmm, No. 123
M_tot, μB per formula unit: 0.000
VASP energy, Ha/atom: -0.1290

***

# 3
Here is a relaxed structure of PaAgSbAu from the Alexandria database. Energies are from PBE-GGA.

Geometry as POSCAR:
```
PaAgSbAu
1.0
5.055 0.000 0.000
2.527 4.377 0.000
2.527 1.459 4.127
Pa Au Sb Ag
1 1 1 1
Direct
0.750 0.750 0.750 Pa
0.500 0.500 0.500 Au
0.000 0.000 0.000 Sb
0.250 0.250 0.250 Ag
```

Values from the calculation:
Formation energy (no corrections), eV per atom: -0.206
Crystal system: cubic
SG: F-43m, No. 216
M_tot, μB per formula unit: 1.094
VASP energy, Ha/atom: -0.1890

***

# 4
Here is a relaxed structure of Al2CdTe from the Alexandria database. Energies are from PBE-GGA.

Geometry as POSCAR:
```
Al2CdTe
1.0
4.954 0.000 0.000
0.000 4.954 0.000
0.000 0.000 3.733
Al Te Cd
2 1 1
Direct
0.000 0.000 0.000 Al
0.500 0.500 0.000 Al
0.000 0.500 0.500 Te
0.500 0.000 0.500 Cd
```

Values from the calculation:
Formation energy (no corrections), eV per atom: 0.208
Crystal system: tetragonal
SG: P4/mmm, No. 123
M_tot, μB per formula unit: 0.000
E above lowest polymorph, meV/atom: 180
VASP energy, Ha/atom: -0.0984